{"formula": "Ni2AsP", "functional": "SCAN", "state": "single point on PBEsol structure", "cell": [[4.046, 0.000, 0.000], [0.000, 4.046, 0.000], [0.000, 0.000, 3.028]], "species": ["Ni", "Ni", "As", "P"], "fractional_positions": [[0.000, 0.500, 0.000], [0.500, 0.000, 0.000], [0.000, 0.000, 0.500], [0.500, 0.500, 0.500]], "magmom_total_mub_per_cell": 0.0, "vol_a3_per_atom": 12.4, "formation_energy_ev_per_atom": 0.06, "final_energy_ev_per_atom": -15.67, "spacegroup": "P4/mmm"}

=====

{"formula": "Ni2AsP", "functional": "SCAN", "state": "single point on PBEsol structure", "cell": [[-1.926, 2.162, 3.021], [1.926, -2.162, 3.021], [1.926, 2.162, -3.021]], "species": ["Ni", "Ni", "As", "P"], "fractional_positions": [[0.218, 0.218, 0.000], [0.782, 0.782, 0.000], [0.500, 0.000, 0.500], [0.000, 0.500, 0.500]], "magmom_total_mub_per_cell": 0.0, "vol_a3_per_atom": 12.6, "formation_energy_ev_per_atom": 0.05, "final_energy_ev_per_atom": -15.69, "spacegroup": "Immm"}

=====

{"formula": "NiAsP", "functional": "SCAN", "state": "single point on PBEsol structure", "cell": [[0.000, 2.817, 2.817], [2.817, 0.000, 2.817], [2.817, 2.817, 0.000]], "species": ["Ni", "As", "P"], "fractional_positions": [[0.000, 0.000, 0.000], [0.250, 0.250, 0.250], [0.750, 0.750, 0.750]], "magmom_total_mub_per_cell": 0.0, "vol_a3_per_atom": 14.9, "formation_energy_ev_per_atom": -0.09, "final_energy_ev_per_atom": -15.68, "spacegroup": "F-43m"}

=====

{"formula": "NiAsPb2", "functional": "SCAN", "state": "single point on PBEsol structure", "cell": [[-2.140, 2.140, 4.729], [2.140, -2.140, 4.729], [2.140, 2.140, -4.729]], "species": ["Ni", "As", "Pb", "Pb"], "fractional_positions": [[0.000, 0.000, 0.000], [0.250, 0.750, 0.500], [0.500, 0.500, 0.000], [0.750, 0.250, 0.500]], "magmom_total_mub_per_cell": 0.0, "vol_a3_per_atom": 21.7, "formation_energy_ev_per_atom": 0.51, "final_energy_ev_per_atom": -46.47, "spacegroup": "I-4m2"}